# 1
TaTcNi | GGA-PBE | optimized geometry

CIF file:
```
data_TaTcNi
_chemical_formula_sum 'Ta4 Tc4 Ni4'
_cell_length_a 10.0978
_cell_length_b 3.1924
_cell_length_c 5.7945
_cell_angle_alpha 90.00
_cell_angle_beta 109.42
_cell_angle_gamma 90.00
_space_group_name_H-M_alt 'C 1 2/m 1'
_space_group_IT_number 12
loop_
_space_group_symop_operation_xyz
'x,y,z'
'-x,-y,-z'
'-x,y,-z'
'x,-y,z'
'x+1/2,y+1/2,z'
'-x+1/2,-y+1/2,-z'
'-x+1/2,y+1/2,-z'
'x+1/2,-y+1/2,z'
loop_
_atom_site_label
_atom_site_type_symbol
_atom_site_fract_x
_atom_site_fract_y
_atom_site_fract_z
Ta1 Ta 0.1630 0.0000 0.1087
Tc1 Tc 0.0188 0.5000 0.7466
Ni1 Ni 0.1679 0.0000 0.5679
```

Values from the calculation:
- E: -113.377 eV/cell
- Crystal system: monoclinic
- DFT formation energy: -0.115 eV/atom

# 2
TaTcNi | GGA-PBE | optimized geometry

CIF file:
```
data_TaTcNi
_chemical_formula_sum 'Ta4 Tc4 Ni4'
_cell_length_a 5.7968
_cell_length_b 5.7968
_cell_length_c 5.7968
_cell_angle_alpha 90.00
_cell_angle_beta 90.00
_cell_angle_gamma 90.00
_space_group_name_H-M_alt 'F -4 3 m'
_space_group_IT_number 216
_space_group_name_Hall 'F -4 2 3'
loop_
_atom_site_label
_atom_site_type_symbol
_atom_site_fract_x
_atom_site_fract_y
_atom_site_fract_z
Ta1 Ta 0.0000 0.0000 0.0000
Tc1 Tc 0.0000 0.0000 0.5000
Ni1 Ni 0.2500 0.2500 0.2500
```

Values from the calculation:
- E: -107.426 eV/cell
- Crystal system: cubic
- DFT formation energy: 0.381 eV/atom